# 1
## UHgPd2 (PBE)

Data for crystalline UHgPd2 at its relaxed geometry.

abc: 3.207 3.207 7.531
angles: 90.00 90.00 90.00
Fractional coordinates of all 4 atoms:
U (0.000, 0.000, 0.000)
Hg (0.000, 0.000, 0.500)
Pd (0.500, 0.500, 0.250)
Pd (0.500, 0.500, 0.750)

Results
final energy: -5.70 eV per atom
symmetry: P4/mmm, No. 123



# 2
## PmBi3 (PBE)

Data for crystalline PmBi3 at its relaxed geometry.

abc: 4.994 4.994 4.994
angles: 90.00 90.00 90.00
Fractional coordinates of all 4 atoms:
Pm (0.000, 0.000, 0.000)
Bi (0.000, 0.500, 0.500)
Bi (0.500, 0.000, 0.500)
Bi (0.500, 0.500, 0.000)

Results
final energy: -4.52 eV per atom
symmetry: Pm-3m, No. 221



# 3
## MgIrW2 (PBE)

Data for crystalline MgIrW2 at its relaxed geometry.

abc: 5.283 8.724 2.752
angles: 90.00 90.00 90.00
Fractional coordinates of all 8 atoms:
Mg (0.000, 0.000, 0.000)
Mg (0.500, 0.500, 0.000)
Ir (0.000, 0.500, 0.000)
Ir (0.500, 0.000, 0.000)
W (0.250, 0.250, 0.500)
W (0.250, 0.750, 0.500)
W (0.750, 0.250, 0.500)
W (0.750, 0.750, 0.500)

Results
final energy: -8.89 eV per atom
symmetry: Cmmm, No. 65



Number 1: ΔE_f -204 meV/atom, size of the total moment 1.64 μB per formula unit, ρ 13.97 g/cm3. Number 2: ΔE_f -419 meV/atom, size of the total moment 0.00 μB per formula unit, ρ 10.29 g/cm3. Number 3: ΔE_f 199 meV/atom, size of the total moment 0.00 μB per formula unit, ρ 15.30 g/cm3.